This record from Alexandria describes crystalline SmEr7Tm3 at its relaxed geometry. The functional is PBE.

Computed properties:
- Volume: 699.0 Å³/cell
- DFT total energy: -4.279 eV/atom
- Offset from the most stable computed form: 0.119 eV/atom
- Theoretical density: 8.68 g/cm3
- Formation energy: 26 kJ/mol of atoms

The structure in CIF format:
```
data_SmEr7Tm3
_chemical_formula_sum 'Sm2 Er14 Tm6'
_space_group_name_H-M_alt 'C 1 2/m 1'
_space_group_IT_number 12
_space_group_name_Hall '-C 2y'
_cell_length_a 12.436
_cell_length_b 11.072
_cell_length_c 5.711
_cell_angle_alpha 90.00
_cell_angle_beta 117.27
_cell_angle_gamma 90.00
loop_
_atom_site_label
_atom_site_type_symbol
_atom_site_fract_x
_atom_site_fract_y
_atom_site_fract_z
Sm1 Sm 0.000 0.000 0.000
Er1 Er 0.000 0.000 0.500
Er2 Er 0.204 0.304 0.204
Er3 Er 0.207 0.500 0.706
Tm1 Tm 0.000 0.295 0.500
Tm2 Tm 0.000 0.500 0.000
```

=====

This record from Alexandria describes crystalline Sm3Er5Tm at its relaxed geometry. The functional is PBE.

Computed properties:
- Volume: 1208.4 Å³/cell
- DFT total energy: -4.306 eV/atom
- Offset from the most stable computed form: 0.000 eV/atom
- Theoretical density: 8.00 g/cm3
- Formation energy: 29 kJ/mol of atoms

The structure in CIF format:
```
data_Sm3Er5Tm
_chemical_formula_sum 'Sm12 Er20 Tm4'
_space_group_name_H-M_alt 'C 1 2/c 1'
_space_group_IT_number 15
_space_group_name_Hall '-C 2yc'
_cell_length_a 18.006
_cell_length_b 6.310
_cell_length_c 11.466
_cell_angle_alpha 90.00
_cell_angle_beta 111.94
_cell_angle_gamma 90.00
loop_
_atom_site_label
_atom_site_type_symbol
_atom_site_fract_x
_atom_site_fract_y
_atom_site_fract_z
Sm1 Sm 0.000 0.000 0.000
Sm2 Sm 0.172 0.180 0.374
Er1 Er 0.000 0.401 0.250
Er2 Er 0.158 0.314 0.011
Er3 Er 0.170 0.294 0.717
Tm1 Tm 0.000 0.118 0.750
```

=====

This record from Alexandria describes crystalline Sm3Er7Tm at its relaxed geometry. The functional is PBE.

Computed properties:
- Volume: 364.7 Å³/cell
- DFT total energy: -4.415 eV/atom
- Offset from the most stable computed form: 0.028 eV/atom
- Theoretical density: 8.15 g/cm3
- Formation energy: 18 kJ/mol of atoms

The structure in CIF format:
```
data_Sm3Er7Tm
_chemical_formula_sum 'Sm3 Er7 Tm1'
_space_group_name_H-M_alt 'P 3 m 1'
_space_group_IT_number 156
_space_group_name_Hall 'P 3 -2"'
_cell_length_a 7.0044
_cell_length_b 7.0044
_cell_length_c 8.5837
_cell_angle_alpha 90.00
_cell_angle_beta 90.00
_cell_angle_gamma 120.00
loop_
_atom_site_label
_atom_site_type_symbol
_atom_site_fract_x
_atom_site_fract_y
_atom_site_fract_z
Sm1 Sm 0.0000 0.5000 0.0000
Er1 Er 0.1676 0.3353 0.6623
Er2 Er 0.3352 0.1676 0.3372
Er3 Er 0.6667 0.3333 0.6620
Tm1 Tm 0.3333 0.6667 0.3379
```

=====

This record from Alexandria describes crystalline Sm2ErTm at its relaxed geometry. The functional is PBE.

Computed properties:
- Volume: 381.7 Å³/cell
- DFT total energy: -4.600 eV/atom
- Offset from the most stable computed form: 0.003 eV/atom
- Theoretical density: 8.31 g/cm3
- Formation energy: 2 kJ/mol of atoms

The structure in CIF format:
```
data_Sm2ErTm
_chemical_formula_sum 'Sm6 Er3 Tm3'
_space_group_name_H-M_alt 'R -3 m'
_space_group_IT_number 166
_space_group_name_Hall '-R 3 2"'
_cell_length_a 3.5665
_cell_length_b 3.5665
_cell_length_c 34.6469
_cell_angle_alpha 90.00
_cell_angle_beta 90.00
_cell_angle_gamma 120.00
loop_
_atom_site_label
_atom_site_type_symbol
_atom_site_fract_x
_atom_site_fract_y
_atom_site_fract_z
Sm1 Sm 0.0000 0.0000 0.2502
Er1 Er 0.0000 0.0000 0.5000
Tm1 Tm 0.0000 0.0000 0.0000
```

=====

This record from Alexandria describes crystalline Sm3Er7Tm2 at its relaxed geometry. The functional is PBE.

Computed properties:
- Volume: 758.7 Å³/cell
- DFT total energy: -4.522 eV/atom
- Offset from the most stable computed form: 0.000 eV/atom
- Theoretical density: 8.58 g/cm3
- Formation energy: 6 kJ/mol of atoms

The structure in CIF format:
```
data_Sm3Er7Tm2
_chemical_formula_sum 'Sm6 Er14 Tm4'
_space_group_name_H-M_alt 'C 1 2/m 1'
_space_group_IT_number 12
_space_group_name_Hall '-C 2y'
_cell_length_a 22.914
_cell_length_b 5.644
_cell_length_c 6.081
_cell_angle_alpha 90.00
_cell_angle_beta 105.25
_cell_angle_gamma 90.00
loop_
_atom_site_label
_atom_site_type_symbol
_atom_site_fract_x
_atom_site_fract_y
_atom_site_fract_z
Sm1 Sm 0.000 0.000 0.000
Sm2 Sm 0.167 0.500 0.744
Er1 Er 0.000 0.500 0.500
Er2 Er 0.089 0.000 0.523
Er3 Er 0.089 0.500 0.153
Er4 Er 0.250 0.000 0.672
Tm1 Tm 0.168 0.000 0.093
```

=====

This record from Alexandria describes crystalline Sm2Er2Tm15 at its relaxed geometry. The functional is PBE.

Computed properties:
- Volume: 1853.8 Å³/cell
- DFT total energy: -4.223 eV/atom
- Theoretical density: 8.52 g/cm3
- Formation energy: 27 kJ/mol of atoms

The structure in CIF format:
```
data_Sm2Er2Tm15
_chemical_formula_sum 'Sm6 Er6 Tm45'
_space_group_name_H-M_alt 'R -3 m'
_space_group_IT_number 166
_space_group_name_Hall '-R 3 2"'
_cell_length_a 11.1222
_cell_length_b 11.1222
_cell_length_c 17.3043
_cell_angle_alpha 90.00
_cell_angle_beta 90.00
_cell_angle_gamma 120.00
loop_
_atom_site_label
_atom_site_type_symbol
_atom_site_fract_x
_atom_site_fract_y
_atom_site_fract_z
Sm1 Sm 0.0000 0.0000 0.1728
Er1 Er 0.0000 0.0000 0.3992
Tm1 Tm 0.0000 0.2997 0.5000
Tm2 Tm 0.0000 0.5000 0.0000
Tm3 Tm 0.0081 0.5040 0.6394
```

=====

This record from Alexandria describes crystalline Sm5Er4Tm2 at its relaxed geometry. The functional is PBE.

Computed properties:
- Volume: 706.4 Å³/cell
- DFT total energy: -4.487 eV/atom
- Offset from the most stable computed form: 0.000 eV/atom
- Theoretical density: 8.27 g/cm3
- Formation energy: 13 kJ/mol of atoms

The structure in CIF format:
```
data_Sm5Er4Tm2
_chemical_formula_sum 'Sm10 Er8 Tm4'
_space_group_name_H-M_alt 'C 1 2/m 1'
_space_group_IT_number 12
_space_group_name_Hall '-C 2y'
_cell_length_a 11.033
_cell_length_b 7.261
_cell_length_c 9.233
_cell_angle_alpha 90.00
_cell_angle_beta 107.26
_cell_angle_gamma 90.00
loop_
_atom_site_label
_atom_site_type_symbol
_atom_site_fract_x
_atom_site_fract_y
_atom_site_fract_z
Sm1 Sm 0.000 0.000 0.000
Sm2 Sm 0.067 0.280 0.270
Er1 Er 0.165 0.500 0.617
Er2 Er 0.196 0.500 0.001
Tm1 Tm 0.146 0.000 0.617
```

=====

This record from Alexandria describes crystalline SmEr5Tm7 at its relaxed geometry. The functional is PBE.

Computed properties:
- Volume: 829.1 Å³/cell
- DFT total energy: -4.265 eV/atom
- Theoretical density: 8.69 g/cm3
- Formation energy: 25 kJ/mol of atoms

The structure in CIF format:
```
data_SmEr5Tm7
_chemical_formula_sum 'Sm2 Er10 Tm14'
_space_group_name_H-M_alt 'I m m 2'
_space_group_IT_number 44
_space_group_name_Hall 'I 2 -2'
_cell_length_a 6.630
_cell_length_b 10.973
_cell_length_c 11.397
_cell_angle_alpha 90.00
_cell_angle_beta 90.00
_cell_angle_gamma 90.00
loop_
_atom_site_label
_atom_site_type_symbol
_atom_site_fract_x
_atom_site_fract_y
_atom_site_fract_z
Sm1 Sm 0.000 0.000 0.000
Er1 Er 0.000 0.500 0.301
Er2 Er 0.233 0.228 0.801
Tm1 Tm 0.000 0.000 0.306
Tm2 Tm 0.000 0.000 0.612
Tm3 Tm 0.000 0.329 0.551
Tm4 Tm 0.000 0.331 0.051
Tm5 Tm 0.000 0.500 0.801
```

=====

This record from Alexandria describes crystalline Sm4Er8Tm3 at its relaxed geometry. The functional is PBE.

Computed properties:
- Volume: 1441.4 Å³/cell
- DFT total energy: -4.459 eV/atom
- Offset from the most stable computed form: 0.000 eV/atom
- Theoretical density: 8.45 g/cm3
- Formation energy: 12 kJ/mol of atoms

The structure in CIF format:
```
data_Sm4Er8Tm3
_chemical_formula_sum 'Sm12 Er24 Tm9'
_space_group_name_H-M_alt 'R -3 m'
_space_group_IT_number 166
_space_group_name_Hall '-R 3 2"'
_cell_length_a 6.8880
_cell_length_b 6.8880
_cell_length_c 35.0816
_cell_angle_alpha 90.00
_cell_angle_beta 90.00
_cell_angle_gamma 120.00
loop_
_atom_site_label
_atom_site_type_symbol
_atom_site_fract_x
_atom_site_fract_y
_atom_site_fract_z
Sm1 Sm 0.0000 0.0000 0.0000
Sm2 Sm 0.0000 0.0000 0.1636
Sm3 Sm 0.0000 0.0000 0.5000
Er1 Er 0.0000 0.0000 0.2556
Er2 Er 0.0021 0.5010 0.2511
Tm1 Tm 0.0000 0.5000 0.0000
```

=====

This record from Alexandria describes crystalline Sm2Er6Tm5 at its relaxed geometry. The functional is PBE.

Computed properties:
- Volume: 816.9 Å³/cell
- DFT total energy: -4.450 eV/atom
- Theoretical density: 8.74 g/cm3
- Formation energy: 10 kJ/mol of atoms

The structure in CIF format:
```
data_Sm2Er6Tm5
_chemical_formula_sum 'Sm4 Er12 Tm10'
_space_group_name_H-M_alt 'P b a m'
_space_group_IT_number 55
_space_group_name_Hall '-P 2 2ab'
_cell_length_a 11.562
_cell_length_b 19.939
_cell_length_c 3.544
_cell_angle_alpha 90.00
_cell_angle_beta 90.00
_cell_angle_gamma 90.00
loop_
_atom_site_label
_atom_site_type_symbol
_atom_site_fract_x
_atom_site_fract_y
_atom_site_fract_z
Sm1 Sm 0.165 0.214 0.000
Er1 Er 0.058 0.921 0.000
Er2 Er 0.082 0.633 0.000
Er3 Er 0.176 0.371 0.500
Tm1 Tm 0.000 0.500 0.500
Tm2 Tm 0.094 0.776 0.500
Tm3 Tm 0.199 0.050 0.500
```

=====

This record from Alexandria describes crystalline Sm7ErTm3 at its relaxed geometry. The functional is PBE.

Computed properties:
- Volume: 737.7 Å³/cell
- DFT total energy: -4.394 eV/atom
- Offset from the most stable computed form: 0.119 eV/atom
- Theoretical density: 7.77 g/cm3
- Formation energy: 24 kJ/mol of atoms

The structure in CIF format:
```
data_Sm7ErTm3
_chemical_formula_sum 'Sm14 Er2 Tm6'
_space_group_name_H-M_alt 'C 1 2/m 1'
_space_group_IT_number 12
_space_group_name_Hall '-C 2y'
_cell_length_a 12.662
_cell_length_b 11.250
_cell_length_c 5.829
_cell_angle_alpha 90.00
_cell_angle_beta 117.32
_cell_angle_gamma 90.00
loop_
_atom_site_label
_atom_site_type_symbol
_atom_site_fract_x
_atom_site_fract_y
_atom_site_fract_z
Sm1 Sm 0.000 0.000 0.000
Sm2 Sm 0.192 0.289 0.692
Sm3 Sm 0.209 0.500 0.207
Er1 Er 0.000 0.000 0.500
Tm1 Tm 0.000 0.295 0.000
Tm2 Tm 0.000 0.500 0.500
```

=====

This record from Alexandria describes crystalline Sm5ErTm12 at its relaxed geometry. The functional is PBE.

Computed properties:
- Volume: 1115.1 Å³/cell
- DFT total energy: -4.522 eV/atom
- Theoretical density: 8.77 g/cm3
- Formation energy: 2 kJ/mol of atoms

The structure in CIF format:
```
data_Sm5ErTm12
_chemical_formula_sum 'Sm10 Er2 Tm24'
_space_group_name_H-M_alt 'C 1 2/m 1'
_space_group_IT_number 12
_space_group_name_Hall '-C 2y'
_cell_length_a 18.317
_cell_length_b 10.559
_cell_length_c 6.109
_cell_angle_alpha 90.00
_cell_angle_beta 109.32
_cell_angle_gamma 90.00
loop_
_atom_site_label
_atom_site_type_symbol
_atom_site_fract_x
_atom_site_fract_y
_atom_site_fract_z
Sm1 Sm 0.000 0.000 0.000
Sm2 Sm 0.166 0.500 0.999
Sm3 Sm 0.167 0.000 0.501
Er1 Er 0.000 0.500 0.500
Tm1 Tm 0.000 0.169 0.500
Tm2 Tm 0.000 0.333 0.000
Tm3 Tm 0.166 0.333 0.499
Tm4 Tm 0.167 0.168 0.001
```

=====

Please write out number 7 again, unchanged.
This record from Alexandria describes crystalline Sm5Er4Tm2 at its relaxed geometry. The functional is PBE.

Computed properties:
- Volume: 706.4 Å³/cell
- DFT total energy: -4.487 eV/atom
- Offset from the most stable computed form: 0.000 eV/atom
- Theoretical density: 8.27 g/cm3
- Formation energy: 13 kJ/mol of atoms

The structure in CIF format:
```
data_Sm5Er4Tm2
_chemical_formula_sum 'Sm10 Er8 Tm4'
_space_group_name_H-M_alt 'C 1 2/m 1'
_space_group_IT_number 12
_space_group_name_Hall '-C 2y'
_cell_length_a 11.033
_cell_length_b 7.261
_cell_length_c 9.233
_cell_angle_alpha 90.00
_cell_angle_beta 107.26
_cell_angle_gamma 90.00
loop_
_atom_site_label
_atom_site_type_symbol
_atom_site_fract_x
_atom_site_fract_y
_atom_site_fract_z
Sm1 Sm 0.000 0.000 0.000
Sm2 Sm 0.067 0.280 0.270
Er1 Er 0.165 0.500 0.617
Er2 Er 0.196 0.500 0.001
Tm1 Tm 0.146 0.000 0.617
```

=====

What did the twelfth record say?
This record from Alexandria describes crystalline Sm5ErTm12 at its relaxed geometry. The functional is PBE.

Computed properties:
- Volume: 1115.1 Å³/cell
- DFT total energy: -4.522 eV/atom
- Theoretical density: 8.77 g/cm3
- Formation energy: 2 kJ/mol of atoms

The structure in CIF format:
```
data_Sm5ErTm12
_chemical_formula_sum 'Sm10 Er2 Tm24'
_space_group_name_H-M_alt 'C 1 2/m 1'
_space_group_IT_number 12
_space_group_name_Hall '-C 2y'
_cell_length_a 18.317
_cell_length_b 10.559
_cell_length_c 6.109
_cell_angle_alpha 90.00
_cell_angle_beta 109.32
_cell_angle_gamma 90.00
loop_
_atom_site_label
_atom_site_type_symbol
_atom_site_fract_x
_atom_site_fract_y
_atom_site_fract_z
Sm1 Sm 0.000 0.000 0.000
Sm2 Sm 0.166 0.500 0.999
Sm3 Sm 0.167 0.000 0.501
Er1 Er 0.000 0.500 0.500
Tm1 Tm 0.000 0.169 0.500
Tm2 Tm 0.000 0.333 0.000
Tm3 Tm 0.166 0.333 0.499
Tm4 Tm 0.167 0.168 0.001
```

=====

- Among the records above, which one has the highest formation energy?
  Sm3Er5Tm

=====

Please write out number 8 again, unchanged.
This record from Alexandria describes crystalline SmEr5Tm7 at its relaxed geometry. The functional is PBE.

Computed properties:
- Volume: 829.1 Å³/cell
- DFT total energy: -4.265 eV/atom
- Theoretical density: 8.69 g/cm3
- Formation energy: 25 kJ/mol of atoms

The structure in CIF format:
```
data_SmEr5Tm7
_chemical_formula_sum 'Sm2 Er10 Tm14'
_space_group_name_H-M_alt 'I m m 2'
_space_group_IT_number 44
_space_group_name_Hall 'I 2 -2'
_cell_length_a 6.630
_cell_length_b 10.973
_cell_length_c 11.397
_cell_angle_alpha 90.00
_cell_angle_beta 90.00
_cell_angle_gamma 90.00
loop_
_atom_site_label
_atom_site_type_symbol
_atom_site_fract_x
_atom_site_fract_y
_atom_site_fract_z
Sm1 Sm 0.000 0.000 0.000
Er1 Er 0.000 0.500 0.301
Er2 Er 0.233 0.228 0.801
Tm1 Tm 0.000 0.000 0.306
Tm2 Tm 0.000 0.000 0.612
Tm3 Tm 0.000 0.329 0.551
Tm4 Tm 0.000 0.331 0.051
Tm5 Tm 0.000 0.500 0.801
```